Entry 1:
## AlPb2Au (PBE-GGA)

Data for AlPb2Au after structural relaxation.

volume	24.7	Å³ per atom
energy of formation from the pure elements	13.3	kJ/mol of atoms
symmetry	No. 10
crystal system	monoclinic
size of the total moment	0.000	μB/f.u.

Cell: 4.239 3.610 7.296 Å, 62.21 90.00 90.00°
Sites, in units of the cell vectors:
Au 0.500 0.750 0.750
Pb 0.000 0.511 0.502
Pb 0.000 0.989 0.998
Al 0.500 0.250 0.250

=====

Entry 2:
## AlPbAu2 (PBE-GGA)

Data for AlPbAu2 after structural relaxation.

volume	22.9	Å³ per atom
energy of formation from the pure elements	-1.5	kJ/mol of atoms
symmetry	No. 10
crystal system	monoclinic
size of the total moment	0.000	μB/f.u.

Cell: 3.880 6.542 5.711 Å, 39.15 90.00 90.00°
Sites, in units of the cell vectors:
Au 0.500 0.500 0.000
Au 0.000 0.000 0.000
Al 0.000 0.000 0.500
Pb 0.500 0.500 0.500

=====

Entry 3:
## AlPb2Au (PBE-GGA)

Data for AlPb2Au after structural relaxation.

volume	24.7	Å³ per atom
energy of formation from the pure elements	-5.9	kJ/mol of atoms
symmetry	No. 99
crystal system	tetragonal
size of the total moment	0.000	μB/f.u.

Cell: 3.447 3.448 8.301 Å, 90.00 90.00 90.00°
Sites, in units of the cell vectors:
Al 0.000 0.000 0.555
Pb 0.000 0.000 0.948
Pb 0.500 0.500 0.302
Au 0.500 0.500 0.696

=====

Entry 4:
## AlPbAu (PBE-GGA)

Data for AlPbAu after structural relaxation.

volume	23.6	Å³ per atom
energy of formation from the pure elements	-13.8	kJ/mol of atoms
symmetry	No. 2
crystal system	triclinic
size of the total moment	0.000	μB/f.u.

Cell: 6.465 4.793 4.980 Å, 90.48 106.29 73.21°
Sites, in units of the cell vectors:
Al 0.697 0.010 0.136
Al 0.529 0.563 0.780
Au 0.556 0.052 0.598
Au 0.669 0.521 0.317
Pb 0.084 0.049 0.709
Pb 0.142 0.523 0.206

=====

Entry 5:
## AlPbAu (PBE-GGA)

Data for AlPbAu after structural relaxation.

volume	22.3	Å³ per atom
energy of formation from the pure elements	-21.0	kJ/mol of atoms
symmetry	No. 129
crystal system	tetragonal
size of the total moment	0.000	μB/f.u.

Cell: 7.436 4.238 4.238 Å, 90.00 90.00 90.00°
Sites, in units of the cell vectors:
Al 0.613 0.036 0.588
Al 0.613 0.536 0.088
Au 0.819 0.536 0.588
Au 0.407 0.036 0.088
Pb 0.980 0.037 0.088
Pb 0.245 0.537 0.588

=====

Entry 6:
## AlPbAu2 (PBE-GGA)

Data for AlPbAu2 after structural relaxation.

volume	20.9	Å³ per atom
energy of formation from the pure elements	5.2	kJ/mol of atoms
symmetry	No. 119
crystal system	tetragonal
size of the total moment	0.000	μB/f.u.

Cell: 5.482 5.482 5.482 Å, 134.07 134.07 66.97°
Sites, in units of the cell vectors:
Al 0.750 0.250 0.500
Au 0.000 0.000 0.000
Au 0.250 0.750 0.500
Pb 0.500 0.500 0.000

=====

Entry 7:
## AlPbAu (PBE-GGA)

Data for AlPbAu after structural relaxation.

volume	24.2	Å³ per atom
energy of formation from the pure elements	-15.5	kJ/mol of atoms
symmetry	No. 69
crystal system	orthorhombic
size of the total moment	0.000	μB/f.u.

Cell: 7.602 4.599 4.601 Å, 90.14 72.29 107.71°
Sites, in units of the cell vectors:
Al 0.391 0.737 0.703
Al 0.392 0.238 0.203
Au 0.218 0.650 0.290
Au 0.565 0.324 0.616
Pb 0.892 0.487 0.953
Pb 0.892 0.987 0.453

=====

Entry 8:
## AlPbAu (PBE-GGA)

Data for AlPbAu after structural relaxation.

volume	23.6	Å³ per atom
energy of formation from the pure elements	-9.4	kJ/mol of atoms
symmetry	No. 187
crystal system	hexagonal
size of the total moment	0.000	μB/f.u.

Cell: 4.411 4.411 4.199 Å, 90.00 90.00 120.00°
Sites, in units of the cell vectors:
Al 0.000 0.000 0.167
Au 0.333 0.667 0.167
Pb 0.667 0.333 0.667

=====

Entry 9:
## AlPb2Au (PBE-GGA)

Data for AlPb2Au after structural relaxation.

volume	24.8	Å³ per atom
energy of formation from the pure elements	15.4	kJ/mol of atoms
symmetry	No. 216
crystal system	cubic
size of the total moment	0.000	μB/f.u.

Cell: 5.196 5.196 5.196 Å, 60.00 60.00 60.00°
Sites, in units of the cell vectors:
Pb 0.250 0.250 0.250
Pb 0.000 0.000 0.000
Al 0.500 0.500 0.500
Au 0.750 0.750 0.750

=====

Entry 10:
## Al2Pb2Au (PBE-GGA)

Data for Al2Pb2Au after structural relaxation.

volume	24.7	Å³ per atom
energy of formation from the pure elements	15.9	kJ/mol of atoms
symmetry	No. 139
crystal system	tetragonal
size of the total moment	0.000	μB/f.u.

Cell: 3.748 3.748 9.168 Å, 78.20 78.20 90.00°
Sites, in units of the cell vectors:
Pb 0.600 0.600 0.801
Pb 0.400 0.400 0.199
Al 0.250 0.750 0.500
Al 0.750 0.250 0.500
Au 0.000 0.000 0.000

=====

Entry 11:
## AlPbAu2 (PBE-GGA)

Data for AlPbAu2 after structural relaxation.

volume	20.5	Å³ per atom
energy of formation from the pure elements	-17.6	kJ/mol of atoms
symmetry	No. 10
crystal system	monoclinic
size of the total moment	0.000	μB/f.u.

Cell: 3.197 3.289 8.454 Å, 67.56 90.00 90.00°
Sites, in units of the cell vectors:
Au 0.000 0.061 0.941
Au 0.000 0.439 0.559
Al 0.500 0.750 0.750
Pb 0.500 0.250 0.250

=====

Entry 12:
## AlPbAu (PBE-GGA)

Data for AlPbAu after structural relaxation.

volume	22.4	Å³ per atom
energy of formation from the pure elements	-6.3	kJ/mol of atoms
symmetry	No. 107
crystal system	tetragonal
size of the total moment	0.000	μB/f.u.

Cell: 6.392 6.391 3.366 Å, 74.75 74.72 30.53°
Sites, in units of the cell vectors:
Pb 0.333 0.333 0.667
Au 0.633 0.633 0.367
Al 0.033 0.033 0.967

=====

Number 1: D(E_F) 1.277 states/eV per cell. Number 2: D(E_F) 1.530 states/eV per cell. Number 3: D(E_F) 1.636 states/eV per cell. Number 4: D(E_F) 1.770 states/eV per cell. Number 5: D(E_F) 2.451 states/eV per cell. Number 6: D(E_F) 1.476 states/eV per cell. Number 7: D(E_F) 2.535 states/eV per cell. Number 8: D(E_F) 0.967 states/eV per cell. Number 9: D(E_F) 1.287 states/eV per cell. Number 10: D(E_F) 2.130 states/eV per cell. Number 11: D(E_F) 1.086 states/eV per cell. Number 12: D(E_F) 1.742 states/eV per cell.